# PmNdCF (GGA-PBE, relaxed)
data_PmNdCF
_cell_length_a 5.208
_cell_length_b 4.312
_cell_length_c 7.515
_cell_angle_alpha 90.00
_cell_angle_beta 90.00
_cell_angle_gamma 90.00
_symmetry_space_group_name_H-M 'A m m 2'
_symmetry_Int_Tables_number 38
_symmetry_space_group_name_Hall 'A 2 -2'
loop_
_atom_site_label
_atom_site_fract_x
_atom_site_fract_y
_atom_site_fract_z
Pm1 0.000 0.000 0.000
Nd1 0.500 0.000 0.331
C1 0.000 0.000 0.333
F1 0.500 0.000 0.999
# Formation energy without anion corrections (kJ per mole of atoms): -114
# Size of the total moment (μB/cell): 1.13
# V (Å³/atom): 21.10